# 1
An optimized crystal structure of Tl2ReTc. Source: Alexandria via LeMat-Bulk, functional PBE.

Cell: 3.018 4.138 6.103 Å, 90.00 90.00 90.00°
Site moments in Bohr magnetons follow the coordinates.
Fractional positions:
1 Tl 0.000 0.000 0.000  -0.01
2 Tl 0.000 0.000 0.500  -0.01
3 Tc 0.500 0.500 0.750  1.75
4 Re 0.500 0.500 0.250  1.16

Properties
Space group: Pmmm, No. 47
Density (g/cm³): 15.1
Magnetization (μB per formula unit): 3.2
Polymorph energy (0 for the lowest one) (meV/atom): 791



# 2
An optimized crystal structure of Tb6Dy3Er2Pu. Source: Alexandria via LeMat-Bulk, functional PBE.

Cell: 6.121 6.121 11.680 Å, 95.02 95.02 120.01°
Site moments in Bohr magnetons follow the coordinates.
Fractional positions:
1 Pu 0.000 0.000 0.000  -5.59
2 Tb 0.248 0.248 0.752  -0.04
3 Tb 0.752 0.752 0.248  -0.04
4 Tb 0.588 0.918 0.752  -0.04
5 Dy 0.833 0.167 0.500  0.04
6 Er 0.333 0.667 0.000  -0.15
7 Dy 0.500 0.500 0.500  0.04
8 Tb 0.082 0.412 0.248  -0.04
9 Tb 0.918 0.588 0.752  -0.04
10 Dy 0.167 0.833 0.500  0.04
11 Tb 0.412 0.082 0.248  -0.04
12 Er 0.667 0.333 0.000  -0.15

Properties
Space group: C2/m, No. 12
Density (g/cm³): 9.0
Magnetization (μB per formula unit): 6.6



| no. | ΔE_f (eV per atom) |
| --- | --- |
| 1 | 1.202 |
| 2 | 0.042 |